No. 1
The following is a GGA-PBE calculation of crystalline LaNdTlCd at its relaxed geometry, from the Alexandria database.

```
data_LaNdTlCd
_space_group_name_H-M_alt 'P 1'
_space_group_IT_number 1
_space_group_name_Hall 'P 1'
_cell_length_a 5.552
_cell_length_b 5.552
_cell_length_c 5.552
_cell_angle_alpha 60.00
_cell_angle_beta 60.00
_cell_angle_gamma 60.00
loop_
_atom_site_label
_atom_site_type_symbol
_atom_site_fract_x
_atom_site_fract_y
_atom_site_fract_z
Cd1 Cd 0.750 0.750 0.750
La1 La 0.000 0.000 0.000
Tl1 Tl 0.250 0.250 0.250
Nd1 Nd 0.500 0.500 0.500
```

crystal system	cubic
space group	F-43m
ρ	8.2	g cm⁻³
calculated total energy	-3.62	eV per atom

No. 2
The following is a GGA-PBE calculation of crystalline La2Nd2YCd5 at its relaxed geometry, from the Alexandria database.

```
data_La2Nd2YCd5
_space_group_name_H-M_alt 'P 1'
_space_group_IT_number 1
_space_group_name_Hall 'P 1'
_cell_length_a 4.885
_cell_length_b 10.839
_cell_length_c 10.839
_cell_angle_alpha 90.00
_cell_angle_beta 90.00
_cell_angle_gamma 90.00
loop_
_atom_site_label
_atom_site_type_symbol
_atom_site_fract_x
_atom_site_fract_y
_atom_site_fract_z
Y1 Y 0.000 0.000 0.000
Y2 Y 0.000 0.500 0.500
Cd1 Cd 0.500 0.190 0.066
Cd2 Cd 0.500 0.000 0.500
Cd3 Cd 0.500 0.934 0.190
Cd4 Cd 0.500 0.566 0.690
Cd5 Cd 0.500 0.066 0.810
Cd6 Cd 0.500 0.810 0.934
Cd7 Cd 0.500 0.310 0.566
Cd8 Cd 0.500 0.690 0.434
Cd9 Cd 0.500 0.500 0.000
Cd10 Cd 0.500 0.434 0.310
Nd1 Nd 0.000 0.374 0.126
Nd2 Nd 0.000 0.626 0.874
Nd3 Nd 0.000 0.874 0.374
Nd4 Nd 0.000 0.126 0.626
La1 La 0.000 0.325 0.825
La2 La 0.000 0.175 0.325
La3 La 0.000 0.825 0.675
La4 La 0.000 0.675 0.175
```

crystal system	tetragonal
space group	P4/mbm
ρ	7.0	g cm⁻³
calculated total energy	-3.25	eV per atom

No. 3
The following is a GGA-PBE calculation of crystalline La2Nd5Zn2Cd at its relaxed geometry, from the Alexandria database.

```
data_La2Nd5Zn2Cd
_space_group_name_H-M_alt 'P 1'
_space_group_IT_number 1
_space_group_name_Hall 'P 1'
_cell_length_a 3.867
_cell_length_b 12.736
_cell_length_c 12.736
_cell_angle_alpha 90.00
_cell_angle_beta 90.00
_cell_angle_gamma 90.00
loop_
_atom_site_label
_atom_site_type_symbol
_atom_site_fract_x
_atom_site_fract_y
_atom_site_fract_z
Zn1 Zn 0.000 0.370 0.130
Zn2 Zn 0.000 0.870 0.370
Zn3 Zn 0.000 0.630 0.870
Zn4 Zn 0.000 0.130 0.630
Nd1 Nd 0.500 0.448 0.298
Nd2 Nd 0.500 0.500 0.000
Nd3 Nd 0.500 0.000 0.500
Nd4 Nd 0.500 0.552 0.702
Nd5 Nd 0.500 0.298 0.552
Nd6 Nd 0.500 0.202 0.052
Nd7 Nd 0.500 0.052 0.798
Nd8 Nd 0.500 0.948 0.202
Nd9 Nd 0.500 0.702 0.448
Nd10 Nd 0.500 0.798 0.948
La1 La 0.000 0.318 0.818
La2 La 0.000 0.182 0.318
La3 La 0.000 0.682 0.182
La4 La 0.000 0.818 0.682
Cd1 Cd 0.000 0.000 0.000
Cd2 Cd 0.000 0.500 0.500
```

crystal system	tetragonal
space group	P4/mbm
ρ	6.6	g cm⁻³
calculated total energy	-3.87	eV per atom

No. 4
The following is a GGA-PBE calculation of crystalline La3CdNi at its relaxed geometry, from the Alexandria database.

```
data_La3CdNi
_space_group_name_H-M_alt 'P 1'
_space_group_IT_number 1
_space_group_name_Hall 'P 1'
_cell_length_a 5.457
_cell_length_b 6.600
_cell_length_c 9.714
_cell_angle_alpha 111.31
_cell_angle_beta 89.83
_cell_angle_gamma 114.61
loop_
_atom_site_label
_atom_site_type_symbol
_atom_site_fract_x
_atom_site_fract_y
_atom_site_fract_z
La1 La 0.851 0.701 0.339
La2 La 0.623 0.250 0.935
La3 La 0.873 0.747 0.726
La4 La 0.377 0.750 0.065
La5 La 0.127 0.253 0.274
La6 La 0.149 0.299 0.661
Ni1 Ni 0.903 0.800 0.034
Ni2 Ni 0.097 0.200 0.966
Cd1 Cd 0.414 0.827 0.567
Cd2 Cd 0.586 0.173 0.433
```

crystal system	triclinic
space group	P-1
ρ	6.7	g cm⁻³
calculated total energy	-4.54	eV per atom

No. 5
The following is a GGA-PBE calculation of crystalline LaCdNi2 at its relaxed geometry, from the Alexandria database.

```
data_LaCdNi2
_space_group_name_H-M_alt 'P 1'
_space_group_IT_number 1
_space_group_name_Hall 'P 1'
_cell_length_a 4.604
_cell_length_b 4.604
_cell_length_c 9.329
_cell_angle_alpha 75.71
_cell_angle_beta 75.71
_cell_angle_gamma 90.00
loop_
_atom_site_label
_atom_site_type_symbol
_atom_site_fract_x
_atom_site_fract_y
_atom_site_fract_z
Cd1 Cd 0.500 0.500 0.000
Cd2 Cd 0.250 0.750 0.500
Ni1 Ni 0.435 0.125 0.250
Ni2 Ni 0.315 0.625 0.250
Ni3 Ni 0.375 0.565 0.750
Ni4 Ni 0.875 0.685 0.750
La1 La 0.000 0.000 0.000
La2 La 0.750 0.250 0.500
```

crystal system	tetragonal
space group	I-42d
ρ	6.6	g cm⁻³
calculated total energy	-4.23	eV per atom

No. 6
The following is a GGA-PBE calculation of crystalline LaCdNi2 at its relaxed geometry, from the Alexandria database.

```
data_LaCdNi2
_space_group_name_H-M_alt 'P 1'
_space_group_IT_number 1
_space_group_name_Hall 'P 1'
_cell_length_a 4.825
_cell_length_b 4.825
_cell_length_c 4.825
_cell_angle_alpha 60.00
_cell_angle_beta 60.00
_cell_angle_gamma 60.00
loop_
_atom_site_label
_atom_site_type_symbol
_atom_site_fract_x
_atom_site_fract_y
_atom_site_fract_z
Ni1 Ni 0.000 0.000 0.000
Ni2 Ni 0.250 0.250 0.250
La1 La 0.750 0.750 0.750
Cd1 Cd 0.500 0.500 0.500
```

crystal system	cubic
space group	F-43m
ρ	7.7	g cm⁻³
calculated total energy	-4.20	eV per atom

No. 7
The following is a GGA-PBE calculation of crystalline La2CdNi at its relaxed geometry, from the Alexandria database.

```
data_La2CdNi
_space_group_name_H-M_alt 'P 1'
_space_group_IT_number 1
_space_group_name_Hall 'P 1'
_cell_length_a 5.090
_cell_length_b 3.813
_cell_length_c 5.563
_cell_angle_alpha 89.74
_cell_angle_beta 90.00
_cell_angle_gamma 90.00
loop_
_atom_site_label
_atom_site_type_symbol
_atom_site_fract_x
_atom_site_fract_y
_atom_site_fract_z
La1 La 0.500 0.126 0.339
La2 La 0.000 0.122 0.870
Ni1 Ni 0.000 0.628 0.486
Cd1 Cd 0.500 0.623 0.805
```

crystal system	monoclinic
space group	Pm
ρ	6.9	g cm⁻³
calculated total energy	-4.34	eV per atom

No. 8
The following is a GGA-PBE calculation of crystalline LaCdNi2 at its relaxed geometry, from the Alexandria database.

```
data_LaCdNi2
_space_group_name_H-M_alt 'P 1'
_space_group_IT_number 1
_space_group_name_Hall 'P 1'
_cell_length_a 3.951
_cell_length_b 3.965
_cell_length_c 5.335
_cell_angle_alpha 68.18
_cell_angle_beta 90.00
_cell_angle_gamma 90.00
loop_
_atom_site_label
_atom_site_type_symbol
_atom_site_fract_x
_atom_site_fract_y
_atom_site_fract_z
Cd1 Cd 0.000 0.483 0.409
Ni1 Ni 0.000 0.192 0.991
Ni2 Ni 0.500 0.051 0.273
La1 La 0.500 0.775 0.827
```

crystal system	orthorhombic
space group	Amm2
ρ	7.9	g cm⁻³
calculated total energy	-4.59	eV per atom

No. 9
The following is a GGA-PBE calculation of crystalline La2CdNi at its relaxed geometry, from the Alexandria database.

```
data_La2CdNi
_space_group_name_H-M_alt 'P 1'
_space_group_IT_number 1
_space_group_name_Hall 'P 1'
_cell_length_a 4.044
_cell_length_b 4.044
_cell_length_c 8.709
_cell_angle_alpha 76.64
_cell_angle_beta 76.64
_cell_angle_gamma 59.79
loop_
_atom_site_label
_atom_site_type_symbol
_atom_site_fract_x
_atom_site_fract_y
_atom_site_fract_z
Cd1 Cd 0.250 0.250 0.250
La1 La 0.481 0.481 0.555
La2 La 0.019 0.019 0.945
Ni1 Ni 0.750 0.750 0.750
```

crystal system	monoclinic
space group	C2/m
ρ	6.3	g cm⁻³
calculated total energy	-4.35	eV per atom

No. 10
The following is a GGA-PBE calculation of crystalline LaCd2Ni2 at its relaxed geometry, from the Alexandria database.

```
data_LaCd2Ni2
_space_group_name_H-M_alt 'P 1'
_space_group_IT_number 1
_space_group_name_Hall 'P 1'
_cell_length_a 7.491
_cell_length_b 7.491
_cell_length_c 3.461
_cell_angle_alpha 90.00
_cell_angle_beta 90.00
_cell_angle_gamma 90.00
loop_
_atom_site_label
_atom_site_type_symbol
_atom_site_fract_x
_atom_site_fract_y
_atom_site_fract_z
Cd1 Cd 0.147 0.647 0.500
Cd2 Cd 0.647 0.853 0.500
Cd3 Cd 0.353 0.147 0.500
Cd4 Cd 0.853 0.353 0.500
La1 La 0.500 0.500 0.000
La2 La 0.000 0.000 0.000
Ni1 Ni 0.641 0.141 0.000
Ni2 Ni 0.859 0.641 0.000
Ni3 Ni 0.141 0.359 0.000
Ni4 Ni 0.359 0.859 0.000
```

crystal system	tetragonal
space group	P4/mbm
ρ	8.2	g cm⁻³
calculated total energy	-3.72	eV per atom

Number 1: DFT formation energy -144 kJ/mol of formula units. Number 2: DFT formation energy -199 kJ/mol of formula units. Number 3: DFT formation energy -145 kJ/mol of formula units. Number 4: DFT formation energy -117 kJ/mol of formula units. Number 5: DFT formation energy 46 kJ/mol of formula units. Number 6: DFT formation energy 57 kJ/mol of formula units. Number 7: DFT formation energy -78 kJ/mol of formula units. Number 8: DFT formation energy -94 kJ/mol of formula units. Number 9: DFT formation energy -83 kJ/mol of formula units. Number 10: DFT formation energy -27 kJ/mol of formula units.